{
  "formula": "TaSi2Te",
  "functional": "PBE",
  "state": "optimized geometry",
  "e_form_raw_ev_per_atom": 0.563,
  "total_energy_ev_per_atom": -5.897,
  "space_group": "I-4m2 (119)",
  "cell": [[-2.0133, 2.0133, 4.5099], [2.0133, -2.0133, 4.5099], [2.0133, 2.0133, -4.5099]],
  "species": ["Ta", "Si", "Si", "Te"],
  "frac_coords": [[0.0000, 0.0000, 0.0000], [0.5000, 0.5000, 0.0000], [0.7500, 0.2500, 0.5000], [0.2500, 0.7500, 0.5000]]
}



{
  "formula": "YPaGaAu",
  "functional": "PBE",
  "state": "optimized geometry",
  "total_energy_ev_per_atom": -5.894,
  "formation_enthalpy_0k_ev_per_atom": -0.33,
  "space_group": "F-43m (216)",
  "cell": [[0.0000, 3.6137, 3.6137], [3.6137, 0.0000, 3.6137], [3.6137, 3.6137, 0.0000]],
  "species": ["Y", "Pa", "Ga", "Au"],
  "frac_coords": [[0.0000, 0.0000, 0.0000], [0.5000, 0.5000, 0.5000], [0.7500, 0.7500, 0.7500], [0.2500, 0.2500, 0.2500]]
}



{
  "formula": "CaAcGd2",
  "functional": "PBE",
  "state": "optimized geometry",
  "total_energy_ev_per_atom": -8.495,
  "formation_enthalpy_0k_ev_per_atom": 0.07,
  "e_above_lowest_polymorph_mev_per_atom": 0,
  "space_group": "P4/mmm (123)",
  "cell": [[3.7628, 0.0000, 0.0000], [0.0000, 3.7628, 0.0000], [0.0000, 0.0000, 10.6239]],
  "species": ["Ca", "Ac", "Gd", "Gd"],
  "frac_coords": [[0.0000, 0.0000, 0.0000], [0.0000, 0.0000, 0.5000], [0.5000, 0.5000, 0.2571], [0.5000, 0.5000, 0.7429]]
}



{
  "formula": "HoEr3Sc",
  "functional": "PBE",
  "state": "optimized geometry",
  "total_energy_ev_per_atom": -4.907,
  "formation_enthalpy_0k_ev_per_atom": 0.01,
  "e_above_lowest_polymorph_mev_per_atom": 0,
  "space_group": "P-1 (2)",
  "cell": [[6.1093, 0.0000, 0.0000], [-3.0508, 5.7750, 0.0000], [-0.0051, -3.0699, 8.4117]],
  "species": ["Ho", "Ho", "Er", "Er", "Er", "Er", "Er", "Er", "Sc", "Sc"],
  "frac_coords": [[0.0320, 0.4035, 0.1529], [0.9680, 0.5965, 0.8471], [0.1669, 0.0053, 0.2527], [0.2342, 0.8006, 0.5489], [0.4341, 0.2026, 0.9478], [0.5659, 0.7974, 0.0522], [0.7658, 0.1994, 0.4511], [0.8331, 0.9947, 0.7473], [0.3687, 0.4021, 0.6467], [0.6313, 0.5979, 0.3533]]
}



{
  "formula": "As2C2Br",
  "functional": "PBE",
  "state": "optimized geometry",
  "e_form_raw_ev_per_atom": 1.143,
  "total_energy_ev_per_atom": -4.740,
  "e_above_lowest_polymorph_mev_per_atom": 0,
  "space_group": "I4/mmm (139)",
  "cell": [[-1.7897, 1.7897, 6.4771], [1.7897, -1.7897, 6.4771], [1.7897, 1.7897, -6.4771]],
  "species": ["As", "As", "C", "C", "Br"],
  "frac_coords": [[0.1616, 0.1616, 0.0000], [0.8384, 0.8384, 0.0000], [0.2500, 0.7500, 0.5000], [0.7500, 0.2500, 0.5000], [0.5000, 0.5000, 0.0000]]
}



{
  "formula": "Sn2I2Cl",
  "functional": "PBE",
  "state": "optimized geometry",
  "e_form_raw_ev_per_atom": -0.393,
  "total_energy_ev_per_atom": -2.983,
  "e_above_lowest_polymorph_mev_per_atom": 0,
  "space_group": "P4/mbm (127)",
  "cell": [[7.9783, 0.0000, 0.0000], [0.0000, 7.9783, 0.0000], [0.0000, 0.0000, 5.0352]],
  "species": ["Sn", "Sn", "Sn", "Sn", "I", "I", "I", "I", "Cl", "Cl"],
  "frac_coords": [[0.1570, 0.3430, 0.0000], [0.3430, 0.8430, 0.0000], [0.6570, 0.1570, 0.0000], [0.8430, 0.6570, 0.0000], [0.1707, 0.6707, 0.5000], [0.3293, 0.1707, 0.5000], [0.6707, 0.8293, 0.5000], [0.8293, 0.3293, 0.5000], [0.0000, 0.0000, 0.0000], [0.5000, 0.5000, 0.0000]]
}



{
  "formula": "AcLa2TbNd",
  "functional": "PBE",
  "state": "optimized geometry",
  "total_energy_ev_per_atom": -4.357,
  "formation_enthalpy_0k_ev_per_atom": 0.32,
  "space_group": "Cmcm (63)",
  "cell": [[4.1278, -6.1474, 0.0000], [4.1278, 6.1474, 0.0000], [0.0000, 0.0000, 7.6420]],
  "species": ["Ac", "Ac", "La", "La", "La", "La", "Tb", "Tb", "Nd", "Nd"],
  "frac_coords": [[0.2416, 0.7584, 0.7500], [0.7584, 0.2416, 0.2500], [0.2968, 0.2968, 0.0000], [0.2968, 0.2968, 0.5000], [0.7032, 0.7032, 0.0000], [0.7032, 0.7032, 0.5000], [0.3062, 0.6938, 0.2500], [0.6938, 0.3062, 0.7500], [0.0595, 0.9405, 0.2500], [0.9405, 0.0595, 0.7500]]
}



{
  "formula": "Si2TcTe",
  "functional": "PBE",
  "state": "optimized geometry",
  "e_form_raw_ev_per_atom": 0.683,
  "total_energy_ev_per_atom": -5.406,
  "space_group": "P4/mmm (123)",
  "cell": [[4.5128, 0.0000, 0.0000], [0.0000, 4.5128, 0.0000], [0.0000, 0.0000, 3.3574]],
  "species": ["Si", "Si", "Tc", "Te"],
  "frac_coords": [[0.0000, 0.5000, 0.0000], [0.5000, 0.0000, 0.0000], [0.0000, 0.0000, 0.5000], [0.5000, 0.5000, 0.5000]]
}



{
  "formula": "LiAl",
  "functional": "PBE",
  "state": "optimized geometry",
  "total_energy_ev_per_atom": -2.876,
  "formation_enthalpy_0k_ev_per_atom": -0.05,
  "space_group": "P4/mcc (124)",
  "cell": [[7.8860, 0.0000, 0.0000], [0.0000, 7.8860, 0.0000], [0.0000, 0.0000, 4.8680]],
  "species": ["Li", "Li", "Li", "Li", "Li", "Li", "Li", "Li", "Al", "Al", "Al", "Al", "Al", "Al", "Al", "Al"],
  "frac_coords": [[0.0772, 0.2983, 0.0000], [0.0772, 0.7017, 0.5000], [0.2983, 0.0772, 0.5000], [0.2983, 0.9228, 0.0000], [0.7017, 0.0772, 0.0000], [0.7017, 0.9228, 0.5000], [0.9228, 0.2983, 0.5000], [0.9228, 0.7017, 0.0000], [0.2734, 0.4093, 0.5000], [0.2734, 0.5907, 0.0000], [0.4093, 0.2734, 0.0000], [0.4093, 0.7266, 0.5000], [0.5907, 0.2734, 0.5000], [0.5907, 0.7266, 0.0000], [0.7266, 0.4093, 0.0000], [0.7266, 0.5907, 0.5000]]
}



{
  "formula": "SrNbGe2H",
  "functional": "PBE",
  "state": "optimized geometry",
  "total_energy_ev_per_atom": -3.740,
  "space_group": "P4/mmm (123)",
  "cell": [[5.5112, 0.0000, 0.0000], [0.0000, 5.5112, 0.0000], [0.0000, 0.0000, 3.5285]],
  "species": ["Sr", "Nb", "Ge", "Ge", "H"],
  "frac_coords": [[0.0000, 0.0000, 0.0000], [0.5000, 0.5000, 0.5000], [0.0000, 0.5000, 0.0000], [0.5000, 0.0000, 0.0000], [0.0000, 0.0000, 0.5000]]
}



{
  "formula": "Sc4CdAu5",
  "functional": "PBE",
  "state": "optimized geometry",
  "total_energy_ev_per_atom": -4.982,
  "formation_enthalpy_0k_ev_per_atom": -0.72,
  "space_group": "P4/mmm (123)",
  "cell": [[3.3936, 0.0000, 0.0000], [0.0000, 3.3936, 0.0000], [0.0000, 0.0000, 17.1224]],
  "species": ["Sc", "Sc", "Sc", "Sc", "Cd", "Au", "Au", "Au", "Au", "Au"],
  "frac_coords": [[0.0000, 0.0000, 0.1002], [0.0000, 0.0000, 0.3023], [0.0000, 0.0000, 0.6977], [0.0000, 0.0000, 0.8998], [0.0000, 0.0000, 0.5000], [0.5000, 0.5000, 0.0000], [0.5000, 0.5000, 0.1986], [0.5000, 0.5000, 0.3936], [0.5000, 0.5000, 0.6064], [0.5000, 0.5000, 0.8014]]
}



{
  "formula": "NaTiSn3",
  "functional": "PBE",
  "state": "optimized geometry",
  "total_energy_ev_per_atom": -4.271,
  "formation_enthalpy_0k_ev_per_atom": -0.03,
  "e_above_lowest_polymorph_mev_per_atom": 0,
  "space_group": "Pm-3m (221)",
  "cell": [[5.3232, 0.0000, 0.0000], [0.0000, 5.3232, 0.0000], [0.0000, 0.0000, 5.3232]],
  "species": ["Na", "Ti", "Sn", "Sn", "Sn"],
  "frac_coords": [[0.0000, 0.0000, 0.0000], [0.5000, 0.5000, 0.5000], [0.0000, 0.5000, 0.5000], [0.5000, 0.0000, 0.5000], [0.5000, 0.5000, 0.0000]]
}